Below is a geometry-optimized MnPb3Cl structure, with properties calculated at the PBE-GGA level.

E above lowest polymorph: 3.52 eV per formula unit
Uncorrected energy: -3.810 eV per atom
Raw formation energy: 3.09 eV per formula unit

Geometry as POSCAR:
```
MnPb3Cl
1.0
-3.889 -2.698 -2.811
-1.050 -3.099 4.427
-3.752 3.664 1.675
Pb Mn Cl
3 1 1
direct
0.000 0.500 0.000
0.000 0.000 0.500
0.500 0.000 0.000
0.500 0.500 0.500
0.000 0.000 0.000
```